# YAsRu4 PBE optimized geometry
# volume: 102 Å³/f.u.
# energy of formation: 0.13 eV/atom
# DFT total energy: -47.434 eV per formula unit
data_YAsRu4
_chemical_formula_sum 'Y4 As4 Ru16'
_cell_length_a 7.4172
_cell_length_b 7.4172
_cell_length_c 7.4172
_cell_angle_alpha 90.00
_cell_angle_beta 90.00
_cell_angle_gamma 90.00
_space_group_name_H-M_alt 'F -4 3 m'
_space_group_IT_number 216
_space_group_name_Hall 'F -4 2 3'
loop_
_atom_site_label
_atom_site_type_symbol
_atom_site_fract_x
_atom_site_fract_y
_atom_site_fract_z
Y1 Y 0.0000 0.0000 0.0000
As1 As 0.2500 0.2500 0.7500
Ru1 Ru 0.1240 0.1240 0.3760



# NiPdPbAu PBE optimized geometry
# volume: 69 Å³/f.u.
# energy of formation: 0.02 eV/atom
# DFT total energy: -17.877 eV per formula unit
data_NiPdPbAu
_chemical_formula_sum 'Ni4 Pd4 Pb4 Au4'
_cell_length_a 6.5219
_cell_length_b 6.5219
_cell_length_c 6.5219
_cell_angle_alpha 90.00
_cell_angle_beta 90.00
_cell_angle_gamma 90.00
_space_group_name_H-M_alt 'F -4 3 m'
_space_group_IT_number 216
_space_group_name_Hall 'F -4 2 3'
loop_
_atom_site_label
_atom_site_type_symbol
_atom_site_fract_x
_atom_site_fract_y
_atom_site_fract_z
Ni1 Ni 0.0000 0.0000 0.0000
Pd1 Pd 0.0000 0.0000 0.5000
Pb1 Pb 0.2500 0.2500 0.2500
Au1 Au 0.2500 0.2500 0.7500



# Li2Hg2Au PBE optimized geometry
# volume: 102 Å³/f.u.
# energy of formation: -0.29 eV/atom
# ΔE to the lowest computed polymorph: 47 meV/atom
# DFT total energy: -9.182 eV per formula unit
data_Li2Hg2Au
_chemical_formula_sum 'Li8 Hg8 Au4'
_cell_length_a 5.7558
_cell_length_b 13.0505
_cell_length_c 5.4487
_cell_angle_alpha 90.00
_cell_angle_beta 90.00
_cell_angle_gamma 90.00
_space_group_name_H-M_alt 'I b a m'
_space_group_IT_number 72
_space_group_name_Hall '-I 2 2c'
loop_
_atom_site_label
_atom_site_type_symbol
_atom_site_fract_x
_atom_site_fract_y
_atom_site_fract_z
Li1 Li 0.1633 0.1692 0.0000
Hg1 Hg 0.1376 0.3786 0.0000
Au1 Au 0.0000 0.0000 0.2500



# KRbCa2Au PBE optimized geometry
# volume: 236 Å³/f.u.
# energy of formation: -0.18 eV/atom
# ΔE to the lowest computed polymorph: 0 meV/atom
# DFT total energy: -10.239 eV per formula unit
data_KRbCa2Au
_chemical_formula_sum 'K1 Rb1 Ca2 Au1'
_cell_length_a 5.9186
_cell_length_b 5.9186
_cell_length_c 6.7369
_cell_angle_alpha 90.00
_cell_angle_beta 90.00
_cell_angle_gamma 90.00
_space_group_name_H-M_alt 'P 4/m m m'
_space_group_IT_number 123
_space_group_name_Hall '-P 4 2'
loop_
_atom_site_label
_atom_site_type_symbol
_atom_site_fract_x
_atom_site_fract_y
_atom_site_fract_z
K1 K 0.0000 0.0000 0.0000
Rb1 Rb 0.5000 0.5000 0.0000
Ca1 Ca 0.0000 0.5000 0.5000
Au1 Au 0.0000 0.0000 0.5000



# Zn2Cd2As PBE optimized geometry
# volume: 100 Å³/f.u.
# energy of formation: 0.17 eV/atom
# ΔE to the lowest computed polymorph: 0 meV/atom
# DFT total energy: -8.181 eV per formula unit
data_Zn2Cd2As
_chemical_formula_sum 'Zn4 Cd4 As2'
_cell_length_a 8.4160
_cell_length_b 8.4160
_cell_length_c 2.8233
_cell_angle_alpha 90.00
_cell_angle_beta 90.00
_cell_angle_gamma 90.00
_space_group_name_H-M_alt 'P 4/m b m'
_space_group_IT_number 127
_space_group_name_Hall '-P 4 2ab'
loop_
_atom_site_label
_atom_site_type_symbol
_atom_site_fract_x
_atom_site_fract_y
_atom_site_fract_z
Zn1 Zn 0.1084 0.3916 0.0000
Cd1 Cd 0.1908 0.6908 0.5000
As1 As 0.0000 0.0000 0.5000



# SrCo2Sb PBE optimized geometry
# volume: 100 Å³/f.u.
# formation energy (no corrections): 0.33 eV/f.u.
# DFT total energy: -19.690 eV per formula unit
data_SrCo2Sb
_chemical_formula_sum 'Sr4 Co8 Sb4'
_cell_length_a 4.8062
_cell_length_b 4.8062
_cell_length_c 17.2825
_cell_angle_alpha 90.00
_cell_angle_beta 90.00
_cell_angle_gamma 90.00
_space_group_name_H-M_alt 'I 41/a m d'
_space_group_IT_number 141
loop_
_space_group_symop_operation_xyz
'x,y,z'
'-x,-y,-z'
'-y+1/4,x+3/4,z+1/4'
'y+1/4,-x+3/4,-z+1/4'
'-x+1/2,-y,z+1/2'
'x+1/2,y,-z+1/2'
'y+1/4,-x+1/4,z+3/4'
'-y+1/4,x+1/4,-z+3/4'
'x,-y,-z'
'-x,y,z'
'-y+1/4,-x+1/4,-z+3/4'
'y+1/4,x+1/4,z+3/4'
'-x+1/2,y,-z+1/2'
'x+1/2,-y,z+1/2'
'y+1/4,x+3/4,-z+1/4'
'-y+1/4,-x+3/4,z+1/4'
'x+1/2,y+1/2,z+1/2'
'-x+1/2,-y+1/2,-z+1/2'
'-y+3/4,x+1/4,z+3/4'
'y+3/4,-x+1/4,-z+3/4'
'-x,-y+1/2,z'
'x,y+1/2,-z'
'y+3/4,-x+3/4,z+1/4'
'-y+3/4,x+3/4,-z+1/4'
'x+1/2,-y+1/2,-z+1/2'
'-x+1/2,y+1/2,z+1/2'
'-y+3/4,-x+3/4,-z+1/4'
'y+3/4,x+3/4,z+1/4'
'-x,y+1/2,-z'
'x,-y+1/2,z'
'y+3/4,x+1/4,-z+3/4'
'-y+3/4,-x+1/4,z+3/4'
loop_
_atom_site_label
_atom_site_type_symbol
_atom_site_fract_x
_atom_site_fract_y
_atom_site_fract_z
Sr1 Sr 0.0000 0.2500 0.3750
Co1 Co 0.0000 0.0000 0.0000
Sb1 Sb 0.0000 0.2500 0.8750



# TaCoW2 PBE optimized geometry
# volume: 61 Å³/f.u.
# energy of formation: 0.06 eV/atom
# ΔE to the lowest computed polymorph: 30 meV/atom
# DFT total energy: -44.639 eV per formula unit
data_TaCoW2
_chemical_formula_sum 'Ta2 Co2 W4'
_cell_length_a 3.4060
_cell_length_b 4.2673
_cell_length_c 8.3835
_cell_angle_alpha 90.00
_cell_angle_beta 90.00
_cell_angle_gamma 90.00
_space_group_name_H-M_alt 'C m m m'
_space_group_IT_number 65
_space_group_name_Hall '-C 2 2'
loop_
_atom_site_label
_atom_site_type_symbol
_atom_site_fract_x
_atom_site_fract_y
_atom_site_fract_z
Ta1 Ta 0.0000 0.0000 0.0000
Co1 Co 0.0000 0.0000 0.5000
W1 W 0.0000 0.5000 0.2779



# Ba4AcCd5 PBE optimized geometry
# volume: 376 Å³/f.u.
# energy of formation: -0.32 eV/atom
# DFT total energy: -19.573 eV per formula unit
data_Ba4AcCd5
_chemical_formula_sum 'Ba4 Ac1 Cd5'
_cell_length_a 4.2083
_cell_length_b 4.2083
_cell_length_c 21.2399
_cell_angle_alpha 90.00
_cell_angle_beta 90.00
_cell_angle_gamma 90.00
_space_group_name_H-M_alt 'P 4/m m m'
_space_group_IT_number 123
_space_group_name_Hall '-P 4 2'
loop_
_atom_site_label
_atom_site_type_symbol
_atom_site_fract_x
_atom_site_fract_y
_atom_site_fract_z
Ba1 Ba 0.0000 0.0000 0.1017
Ba2 Ba 0.0000 0.0000 0.3055
Ac1 Ac 0.0000 0.0000 0.5000
Cd1 Cd 0.5000 0.5000 0.0000
Cd2 Cd 0.5000 0.5000 0.2028
Cd3 Cd 0.5000 0.5000 0.4100



# K3Ga2Sn3 PBE optimized geometry
# volume: 258 Å³/f.u.
# energy of formation: -0.06 eV/atom
# DFT total energy: -21.846 eV per formula unit
data_K3Ga2Sn3
_chemical_formula_sum 'K12 Ga8 Sn12'
_cell_length_a 5.7093
_cell_length_b 11.4714
_cell_length_c 15.7817
_cell_angle_alpha 90.00
_cell_angle_beta 90.00
_cell_angle_gamma 90.00
_space_group_name_H-M_alt 'C m c m'
_space_group_IT_number 63
_space_group_name_Hall '-C 2c 2'
loop_
_atom_site_label
_atom_site_type_symbol
_atom_site_fract_x
_atom_site_fract_y
_atom_site_fract_z
K1 K 0.0000 0.0140 0.2500
K2 K 0.0000 0.1609 0.5315
Ga1 Ga 0.0000 0.2998 0.1692
Sn1 Sn 0.0000 0.2952 0.7500
Sn2 Sn 0.0000 0.4769 0.5976



# SiNiP PBE optimized geometry
# volume: 39 Å³/f.u.
# formation energy (no corrections): 0.38 eV/f.u.
# DFT total energy: -16.232 eV per formula unit
data_SiNiP
_chemical_formula_sum 'Si2 Ni2 P2'
_cell_length_a 3.2734
_cell_length_b 3.2734
_cell_length_c 7.2393
_cell_angle_alpha 90.00
_cell_angle_beta 90.00
_cell_angle_gamma 90.00
_space_group_name_H-M_alt 'I 4 m m'
_space_group_IT_number 107
_space_group_name_Hall 'I 4 -2'
loop_
_atom_site_label
_atom_site_type_symbol
_atom_site_fract_x
_atom_site_fract_y
_atom_site_fract_z
Si1 Si 0.0000 0.0000 0.0000
Ni1 Ni 0.0000 0.0000 0.6649
P1 P 0.0000 0.0000 0.3372



# AgHgAsO4 PBE optimized geometry
# volume: 124 Å³/f.u.
# formation energy (no corrections): -5.06 eV/f.u.
# ΔE to the lowest computed polymorph: 12 meV/atom
# DFT total energy: -32.691 eV per formula unit
data_AgHgAsO4
_chemical_formula_sum 'Ag2 Hg2 As2 O8'
_cell_length_a 5.8958
_cell_length_b 5.8958
_cell_length_c 7.1235
_cell_angle_alpha 90.00
_cell_angle_beta 90.00
_cell_angle_gamma 90.00
_space_group_name_H-M_alt 'I -4'
_space_group_IT_number 82
loop_
_space_group_symop_operation_xyz
'x,y,z'
'y,-x,-z'
'-x,-y,z'
'-y,x,-z'
'x+1/2,y+1/2,z+1/2'
'y+1/2,-x+1/2,-z+1/2'
'-x+1/2,-y+1/2,z+1/2'
'-y+1/2,x+1/2,-z+1/2'
loop_
_atom_site_label
_atom_site_type_symbol
_atom_site_fract_x
_atom_site_fract_y
_atom_site_fract_z
Ag1 Ag 0.0000 0.0000 0.0000
Hg1 Hg 0.0000 0.0000 0.5000
As1 As 0.0000 0.5000 0.7500
O1 O 0.1698 0.3208 0.6176



# YTl2Au PBE optimized geometry
# volume: 103 Å³/f.u.
# energy of formation: -0.23 eV/atom
# ΔE to the lowest computed polymorph: 103 meV/atom
# DFT total energy: -15.391 eV per formula unit
data_YTl2Au
_chemical_formula_sum 'Y2 Tl4 Au2'
_cell_length_a 4.4137
_cell_length_b 4.4137
_cell_length_c 10.6178
_cell_angle_alpha 90.00
_cell_angle_beta 90.00
_cell_angle_gamma 90.00
_space_group_name_H-M_alt 'I 4/m m m'
_space_group_IT_number 139
_space_group_name_Hall '-I 4 2'
loop_
_atom_site_label
_atom_site_type_symbol
_atom_site_fract_x
_atom_site_fract_y
_atom_site_fract_z
Y1 Y 0.0000 0.0000 0.0000
Tl1 Tl 0.0000 0.5000 0.2500
Au1 Au 0.0000 0.0000 0.5000



# Zr6Co2N PBE optimized geometry
# volume: 165 Å³/f.u.
# formation energy (no corrections): -5.07 eV/f.u.
# DFT total energy: -78.897 eV per formula unit
data_Zr6Co2N
_chemical_formula_sum 'Zr12 Co4 N2'
_cell_length_a 5.8160
_cell_length_b 6.3167
_cell_length_c 10.5528
_cell_angle_alpha 90.00
_cell_angle_beta 121.83
_cell_angle_gamma 90.00
_space_group_name_H-M_alt 'P 1 21/c 1'
_space_group_IT_number 14
loop_
_space_group_symop_operation_xyz
'x,y,z'
'-x,-y,-z'
'-x,y+1/2,-z+1/2'
'x,-y+1/2,z+1/2'
loop_
_atom_site_label
_atom_site_type_symbol
_atom_site_fract_x
_atom_site_fract_y
_atom_site_fract_z
Zr1 Zr 0.1025 0.0314 0.2416
Zr2 Zr 0.2383 0.6849 0.0615
Zr3 Zr 0.3804 0.1817 0.0646
Co1 Co 0.3154 0.1044 0.7554
N1 N 0.0000 0.0000 0.0000



# Mn3VTe8 PBE optimized geometry
# volume: 330 Å³/f.u.
# formation energy (no corrections): -2.80 eV/f.u.
# DFT total energy: -64.560 eV per formula unit
data_Mn3VTe8
_chemical_formula_sum 'Mn6 V2 Te16'
_cell_length_a 13.1918
_cell_length_b 7.5927
_cell_length_c 7.9346
_cell_angle_alpha 90.00
_cell_angle_beta 123.91
_cell_angle_gamma 90.00
_space_group_name_H-M_alt 'C 1 2/m 1'
_space_group_IT_number 12
loop_
_space_group_symop_operation_xyz
'x,y,z'
'-x,-y,-z'
'-x,y,-z'
'x,-y,z'
'x+1/2,y+1/2,z'
'-x+1/2,-y+1/2,-z'
'-x+1/2,y+1/2,-z'
'x+1/2,-y+1/2,z'
loop_
_atom_site_label
_atom_site_type_symbol
_atom_site_fract_x
_atom_site_fract_y
_atom_site_fract_z
Mn1 Mn 0.0000 0.0000 0.0000
Mn2 Mn 0.2500 0.2500 0.0000
V1 V 0.0000 0.5000 0.0000
Te1 Te 0.0033 0.2488 0.7598
Te2 Te 0.2460 0.0000 0.2369
Te3 Te 0.2479 0.5000 0.2401



# Ti7Zn2Ir2 PBE optimized geometry
# volume: 198 Å³/f.u.
# energy of formation: 0.01 eV/atom
# DFT total energy: -75.409 eV per formula unit
data_Ti7Zn2Ir2
_chemical_formula_sum 'Ti14 Zn4 Ir4'
_cell_length_a 6.4495
_cell_length_b 9.0968
_cell_length_c 6.7529
_cell_angle_alpha 90.00
_cell_angle_beta 90.00
_cell_angle_gamma 90.00
_space_group_name_H-M_alt 'C m m m'
_space_group_IT_number 65
_space_group_name_Hall '-C 2 2'
loop_
_atom_site_label
_atom_site_type_symbol
_atom_site_fract_x
_atom_site_fract_y
_atom_site_fract_z
Ti1 Ti 0.0000 0.0000 0.0000
Ti2 Ti 0.0000 0.5000 0.2762
Ti3 Ti 0.2500 0.2500 0.2940
Zn1 Zn 0.0000 0.2987 0.0000
Ir1 Ir 0.1922 0.0000 0.5000



# RbCaHgP2 PBE optimized geometry
# volume: 175 Å³/f.u.
# energy of formation: 0.12 eV/atom
# DFT total energy: -13.501 eV per formula unit
data_RbCaHgP2
_chemical_formula_sum 'Rb1 Ca1 Hg1 P2'
_cell_length_a 5.3913
_cell_length_b 5.3913
_cell_length_c 6.0373
_cell_angle_alpha 90.00
_cell_angle_beta 90.00
_cell_angle_gamma 90.00
_space_group_name_H-M_alt 'P 4/m m m'
_space_group_IT_number 123
_space_group_name_Hall '-P 4 2'
loop_
_atom_site_label
_atom_site_type_symbol
_atom_site_fract_x
_atom_site_fract_y
_atom_site_fract_z
Rb1 Rb 0.0000 0.0000 0.0000
Ca1 Ca 0.5000 0.5000 0.5000
Hg1 Hg 0.5000 0.5000 0.0000
P1 P 0.0000 0.5000 0.5000